Density functional theory data (PBE-GGA) for a relaxed structure of La3C.

a b c (Å): 6.538 6.538 6.538
angles (deg): 149.37 67.58 121.39
Positions (direct):
La  0.000  0.000  0.000
La  0.396  0.549  0.846
La  0.703  0.549  0.154
C  0.702  0.202  0.500

formation energy from the elements = 0.074 eV/atom
VASP energy = -23.71 eV/f.u.
calculated density = 5.93 g/cm³
space-group type = No. 44
total moment = 0.0 Bohr magnetons per cell
crystal system = orthorhombic